Entry 1:
Density functional theory data (PBE) for a geometry-optimized NbGaCo2 structure.

## Properties
total magnetic moment	0.0	μB per formula unit
symmetry	P4/mmm (123)
DFT formation energy	-0.9	eV per formula unit

a b c (Å): 2.810 2.810 6.636
angles (deg): 90.00 90.00 90.00
Sites, in units of the cell vectors:
Nb: 0.500 0.500 0.500
Co: 0.000 0.000 0.775
Co: 0.000 0.000 0.225
Ga: 0.500 0.500 0.000

Entry 2:
Density functional theory data (PBE) for a geometry-optimized NbGa3Co4 structure.

## Properties
total magnetic moment	2.1	μB per formula unit
symmetry	R-3m (166)
DFT formation energy	-2.3	eV per formula unit

a b c (Å): 4.167 4.167 7.154
angles (deg): 73.07 73.07 60.00
Sites, in units of the cell vectors:
Co: 0.874 0.874 0.379
Co: 0.624 0.624 0.129
Co: 0.376 0.376 0.871
Co: 0.126 0.126 0.621
Nb: 0.000 0.000 0.000
Ga: 0.251 0.251 0.248
Ga: 0.749 0.749 0.752
Ga: 0.500 0.500 0.500

Entry 3:
Density functional theory data (PBE) for a geometry-optimized NbGaCo structure.

## Properties
total magnetic moment	0.0	μB per formula unit
symmetry	Cmcm (63)
DFT formation energy	-0.8	eV per formula unit

a b c (Å): 5.975 5.524 5.524
angles (deg): 89.65 76.57 76.58
Sites, in units of the cell vectors:
Nb: 0.689 0.828 0.578
Nb: 0.688 0.328 0.078
Nb: 0.311 0.172 0.422
Nb: 0.312 0.672 0.922
Co: 0.007 0.998 0.248
Co: 0.993 0.502 0.252
Co: 0.993 0.002 0.752
Co: 0.007 0.498 0.748
Ga: 0.711 0.822 0.072
Ga: 0.712 0.322 0.572
Ga: 0.289 0.178 0.928
Ga: 0.288 0.678 0.428

Entry 4:
Density functional theory data (PBE) for a geometry-optimized NbGa2Co2 structure.

## Properties
total magnetic moment	0.5	μB per formula unit
polymorph energy (0 for the lowest one)	167	meV per atom
symmetry	I4/mmm (139)
DFT formation energy	-0.1	eV per formula unit

a b c (Å): 3.717 3.717 5.766
angles (deg): 71.20 71.20 90.00
Sites, in units of the cell vectors:
Nb: 0.000 0.000 0.000
Co: 0.250 0.750 0.500
Co: 0.750 0.250 0.500
Ga: 0.615 0.615 0.771
Ga: 0.385 0.385 0.229

Entry 5:
Density functional theory data (PBE) for a geometry-optimized Nb2GaCo2 structure.

## Properties
total magnetic moment	0.0	μB per formula unit
symmetry	P4/mbm (127)
DFT formation energy	-1.2	eV per formula unit

a b c (Å): 6.834 6.834 3.123
angles (deg): 90.00 90.00 90.00
Sites, in units of the cell vectors:
Nb: 0.326 0.174 0.500
Nb: 0.826 0.326 0.500
Nb: 0.674 0.826 0.500
Nb: 0.174 0.674 0.500
Co: 0.128 0.372 0.000
Co: 0.628 0.128 0.000
Co: 0.372 0.872 0.000
Co: 0.872 0.628 0.000
Ga: 0.000 0.000 0.000
Ga: 0.500 0.500 0.000

Entry 6:
Density functional theory data (PBE) for a geometry-optimized Nb2Ga3Co4 structure.

## Properties
total magnetic moment	0.0	μB per formula unit
symmetry	Cmce (64)
DFT formation energy	-1.7	eV per formula unit

a b c (Å): 5.006 6.927 7.477
angles (deg): 90.00 109.56 90.00
Sites, in units of the cell vectors:
Ga: 0.991 0.250 0.481
Ga: 0.509 0.750 0.519
Ga: 0.009 0.750 0.519
Ga: 0.491 0.250 0.481
Ga: 0.500 0.500 0.000
Ga: 0.000 0.000 0.000
Nb: 0.905 0.403 0.811
Nb: 0.595 0.903 0.189
Nb: 0.095 0.597 0.189
Nb: 0.405 0.097 0.811
Co: 0.182 0.750 0.863
Co: 0.818 0.250 0.137
Co: 0.682 0.750 0.863
Co: 0.318 0.250 0.137
Co: 0.170 0.989 0.340
Co: 0.330 0.489 0.660
Co: 0.830 0.011 0.660
Co: 0.670 0.511 0.340